Crystalline LaCeNdSe3 at its relaxed geometry, computed with PBE-GGA.

abc: 4.1997 8.2373 10.5476
angles: 103.50 90.00 90.00
Last column: nearest neighbours and their distance in Å.
Fractional positions:
La (0.7500, 0.8148, 0.7941)  7 Se 3.07-3.25
La (0.2500, 0.1852, 0.2059)  7 Se 3.07-3.25
Ce (0.2500, 0.1727, 0.6177)  5 Se 2.94-3.18
Ce (0.7500, 0.8273, 0.3823)  5 Se 2.94-3.18
Nd (0.2500, 0.6605, 0.0991)  5 Se 2.94-3.03
Nd (0.7500, 0.3395, 0.9009)  5 Se 2.94-3.03
Se (0.2500, 0.7962, 0.5697)  3 Ce 2.94-3.02, 2 La 3.14
Se (0.7500, 0.9126, 0.1112)  2 Nd 2.94, 3 La 3.07-3.25, 1 Ce 3.10
Se (0.7500, 0.4635, 0.1944)  3 Nd 2.97-3.03, 2 La 3.13, 1 Ce 3.18
Se (0.7500, 0.2038, 0.4303)  3 Ce 2.94-3.02, 2 La 3.14
Se (0.2500, 0.5365, 0.8056)  3 Nd 2.97-3.03, 2 La 3.13, 1 Ce 3.18
Se (0.2500, 0.0874, 0.8888)  2 Nd 2.94, 3 La 3.07-3.25, 1 Ce 3.10

**Size of the total moment**: 0.3385 μB/atom
**N(E_F)**: 1.26 states/eV per atom
**Crystal system**: monoclinic
**Volume**: 354.81 Å³ per cell
**Formation energy from raw total energies**: -1657 meV/atom

Crystalline HgIr3 at its relaxed geometry, computed with PBE-GGA.

abc: 2.8097 9.4819 2.8097
angles: 98.52 60.00 98.52
Last column: nearest neighbours and their distance in Å.
Fractional positions:
Hg (0.0000, 0.0000, 0.0000)  6 Hg 2.81, 6 Ir 2.99
Ir (0.2437, 0.7312, 0.2437)  9 Ir 2.70-2.81, 3 Hg 2.99
Ir (0.5000, 0.5000, 0.5000)  12 Ir 2.70-2.81
Ir (0.7563, 0.2688, 0.7563)  9 Ir 2.70-2.81, 3 Hg 2.99

**Size of the total moment**: 0.0000 μB/atom
**N(E_F)**: 1.07 states/eV per atom
**Crystal system**: trigonal
**Volume**: 63.87 Å³ per cell
**Calculated total energy**: -25.6 eV/f.u.

Crystalline SrAs2Se at its relaxed geometry, computed with PBE-GGA.

abc: 5.1456 5.1456 5.1456
angles: 60.00 60.00 60.00
Last column: nearest neighbours and their distance in Å.
Fractional positions:
Sr (0.7500, 0.7500, 0.7500)  4 As 3.15, 4 Se 3.15
As (0.0000, 0.0000, 0.0000)  4 Sr 3.15, 4 As 3.15
As (0.2500, 0.2500, 0.2500)  4 As 3.15, 4 Se 3.15
Se (0.5000, 0.5000, 0.5000)  4 As 3.15, 4 Sr 3.15

**Size of the total moment**: 0.0000 μB/atom
**N(E_F)**: 0.39 states/eV per atom
**Crystal system**: cubic
**Volume**: 96.34 Å³ per cell
**Formation energy from raw total energies**: -329 meV/atom

What is the formula in the first record? LaCeNdSe3

Please write out number 2 again, unchanged.
Crystalline HgIr3 at its relaxed geometry, computed with PBE-GGA.

abc: 2.8097 9.4819 2.8097
angles: 98.52 60.00 98.52
Last column: nearest neighbours and their distance in Å.
Fractional positions:
Hg (0.0000, 0.0000, 0.0000)  6 Hg 2.81, 6 Ir 2.99
Ir (0.2437, 0.7312, 0.2437)  9 Ir 2.70-2.81, 3 Hg 2.99
Ir (0.5000, 0.5000, 0.5000)  12 Ir 2.70-2.81
Ir (0.7563, 0.2688, 0.7563)  9 Ir 2.70-2.81, 3 Hg 2.99

**Size of the total moment**: 0.0000 μB/atom
**N(E_F)**: 1.07 states/eV per atom
**Crystal system**: trigonal
**Volume**: 63.87 Å³ per cell
**Calculated total energy**: -25.6 eV/f.u.